Below is an optimized crystal structure of Y3TaIr, with properties calculated at the PBE level.

```
Y3TaIr
1.0
5.3158 0.0000 0.0000
0.0000 5.3158 0.0000
0.0000 0.0000 5.3158
Y Ta Ir
3 1 1
Direct
0.5000 0.0000 0.0000 Y
0.0000 0.5000 0.0000 Y
0.0000 0.0000 0.5000 Y
0.5000 0.5000 0.5000 Ta
0.0000 0.0000 0.0000 Ir
```

## Properties
Calculated formation energy ... 0.39 eV per atom
Space-group type ... No. 221
Crystal system ... cubic